No. 1
Entry from Alexandria via LeMat-Bulk: a relaxed structure of Rb3Ho2PuS6 (GGA-PBE).

## Properties
- Uncorrected formation energy: -20.9 eV per formula unit
- DOS at the Fermi energy: 1.012 states/eV/atom
- Crystal system: monoclinic
- M_tot: 5.00 μB per cell
- V: 335.1 Å³ per cell

Cell: 7.106 7.106 8.020 Å, 98.49 98.49 120.00°
Fractional positions:
Rb 0.000 0.000 0.000
Rb 0.333 0.667 0.000
Rb 0.667 0.333 0.000
Ho 0.167 0.833 0.500
Ho 0.833 0.167 0.500
Pu 0.500 0.500 0.500
S 0.098 0.436 0.309
S 0.226 0.226 0.691
S 0.436 0.098 0.309
S 0.564 0.902 0.691
S 0.774 0.774 0.309
S 0.902 0.564 0.691

***

No. 2
Entry from Alexandria via LeMat-Bulk: a relaxed structure of Rb3Ho3PuS8 (GGA-PBE).

## Properties
- Uncorrected formation energy: -26.6 eV per formula unit
- DOS at the Fermi energy: 0.756 states/eV/atom
- Crystal system: trigonal
- M_tot: 4.00 μB per cell
- V: 438.4 Å³ per cell

Cell: 9.085 9.085 9.085 Å, 52.61 52.61 52.61°
Fractional positions:
Rb 0.000 0.500 0.500
Rb 0.500 0.000 0.500
Rb 0.500 0.500 0.000
Ho 0.000 0.000 0.500
Ho 0.000 0.500 0.000
Ho 0.500 0.000 0.000
Pu 0.500 0.500 0.500
S 0.230 0.230 0.230
S 0.233 0.726 0.726
S 0.274 0.274 0.767
S 0.274 0.767 0.274
S 0.726 0.233 0.726
S 0.726 0.726 0.233
S 0.767 0.274 0.274
S 0.770 0.770 0.770

***

No. 3
Entry from Alexandria via LeMat-Bulk: a relaxed structure of Rb2HoPuS4 (GGA-PBE).

## Properties
- Uncorrected formation energy: -13.5 eV per formula unit
- DOS at the Fermi energy: 1.349 states/eV/atom
- Crystal system: monoclinic
- M_tot: 5.00 μB per cell
- V: 224.3 Å³ per cell

Cell: 7.128 4.108 8.018 Å, 90.00 107.23 90.00°
Fractional positions:
Rb 0.000 0.000 0.000
Rb 0.500 0.500 0.000
Ho 0.000 0.500 0.500
Pu 0.500 0.000 0.500
S 0.226 0.000 0.692
S 0.267 0.500 0.310
S 0.733 0.500 0.690
S 0.774 0.000 0.308

***

No. 4
Entry from Alexandria via LeMat-Bulk: a relaxed structure of Rb3HoPu2S6 (GGA-PBE).

## Properties
- Uncorrected formation energy: -19.8 eV per formula unit
- DOS at the Fermi energy: 1.622 states/eV/atom
- Crystal system: monoclinic
- M_tot: 10.00 μB per cell
- V: 337.7 Å³ per cell

Cell: 7.134 7.134 8.023 Å, 98.52 98.52 120.00°
Fractional positions:
Rb 0.000 0.000 0.000
Rb 0.333 0.667 0.000
Rb 0.667 0.333 0.000
Ho 0.500 0.500 0.500
Pu 0.167 0.833 0.500
Pu 0.833 0.167 0.500
S 0.106 0.436 0.309
S 0.233 0.233 0.691
S 0.436 0.106 0.309
S 0.564 0.894 0.691
S 0.767 0.767 0.309
S 0.894 0.564 0.691

***

Repeat the third record exactly.
Entry from Alexandria via LeMat-Bulk: a relaxed structure of Rb2HoPuS4 (GGA-PBE).

## Properties
- Uncorrected formation energy: -13.5 eV per formula unit
- DOS at the Fermi energy: 1.349 states/eV/atom
- Crystal system: monoclinic
- M_tot: 5.00 μB per cell
- V: 224.3 Å³ per cell

Cell: 7.128 4.108 8.018 Å, 90.00 107.23 90.00°
Fractional positions:
Rb 0.000 0.000 0.000
Rb 0.500 0.500 0.000
Ho 0.000 0.500 0.500
Pu 0.500 0.000 0.500
S 0.226 0.000 0.692
S 0.267 0.500 0.310
S 0.733 0.500 0.690
S 0.774 0.000 0.308